Density functional theory data (PBEsol) for a geometry-optimized SrBi2Pb2 structure.

Cell: 4.6097 4.6097 8.6841 Å, 105.39 105.39 90.00°
With the nearest neighbours (Å) after each atom.
Atoms (fractional coordinates):
1 Bi 0.5957 0.5957 0.1915  1 Bi 3.08, 4 Pb 3.39
2 Bi 0.4043 0.4043 0.8085  1 Bi 3.08, 4 Pb 3.39
3 Pb 0.7500 0.2500 0.5000  4 Pb 3.26, 4 Bi 3.39
4 Pb 0.2500 0.7500 0.5000  4 Pb 3.26, 4 Bi 3.39
5 Sr 0.0000 0.0000 0.0000  8 Bi 3.61

Summary:
DFT formation energy = -0.29 eV/atom
crystal system = tetragonal


Density functional theory data (PBEsol) for a geometry-optimized B3HI structure.

Cell: 3.7362 3.7362 3.7362 Å, 90.00 90.00 90.00°
With the nearest neighbours (Å) after each atom.
Atoms (fractional coordinates):
1 B 0.0000 0.0000 0.5000  2 H 1.87
2 B 0.0000 0.5000 0.0000  2 H 1.87
3 B 0.5000 0.0000 0.0000  2 H 1.87
4 I 0.5000 0.5000 0.5000  12 B 2.64
5 H 0.0000 0.0000 0.0000  6 B 1.87

Summary:
crystal system = cubic
VASP energy = -3.007 eV/atom


Density functional theory data (PBEsol) for a geometry-optimized LaSiRh2 structure.

Cell: 3.8702 3.8702 5.3731 Å, 111.11 111.11 90.00°
With the nearest neighbours (Å) after each atom.
Atoms (fractional coordinates):
1 Rh 0.0000 0.0000 0.0000  4 Si 2.74, 4 La 3.01, 4 Rh 3.01
2 Rh 0.7500 0.2500 0.5000  4 La 2.74, 4 Rh 3.01, 4 Si 3.01
3 Si 0.5000 0.5000 0.0000  8 Rh 2.74-3.01, 4 La 3.01
4 La 0.2500 0.7500 0.5000  8 Rh 2.74-3.01, 4 Si 3.01

Summary:
E_form (uncorrected) = -1.7 eV/f.u.
crystal system = tetragonal


Density functional theory data (PBEsol) for a geometry-optimized Fe2Ru structure.

Cell: 2.5489 3.9776 6.6528 Å, 90.00 101.04 90.00°
With the nearest neighbours (Å) after each atom.
Atoms (fractional coordinates):
1 Ru 0.1115 0.7500 0.2231  10 Fe 2.46-2.53, 2 Ru 2.55
2 Ru 0.8885 0.2500 0.7769  10 Fe 2.46-2.53, 2 Ru 2.55
3 Fe 0.4439 0.7500 0.8878  6 Fe 2.47-2.55, 6 Ru 2.47-2.53
4 Fe 0.5561 0.2500 0.1122  6 Fe 2.47-2.55, 6 Ru 2.47-2.53
5 Fe 0.2222 0.2500 0.4444  4 Ru 2.46-2.52, 8 Fe 2.47-2.55
6 Fe 0.7778 0.7500 0.5556  4 Ru 2.46-2.52, 8 Fe 2.47-2.55

Summary:
DFT formation energy = 0.05 eV/atom
crystal system = orthorhombic